The following is a PBEsol calculation of crystalline SrRu2O6 at its relaxed geometry, from the Alexandria database.

abc: 5.0811 5.2469 5.2469
angles: 120.00 90.00 90.00
Element x y z (fractional)
1 Sr 0.0000 0.0000 0.0000
2 Ru 0.5000 0.3333 0.6667
3 Ru 0.5000 0.6667 0.3333
4 O 0.7010 0.6162 0.0000
5 O 0.7010 0.3838 0.3838
6 O 0.7010 0.0000 0.6162
7 O 0.2990 0.0000 0.3838
8 O 0.2990 0.3838 0.0000
9 O 0.2990 0.6162 0.6162

Formation energy without anion corrections = -1478.8 meV per atom
Magnetization = 0.001 μB per cell